8
Lattice="6.9699 0.0000 0.0000 0.0000 4.0281 0.0000 -2.3295 0.0000 6.9919" Properties=species:S:1:pos:R:3 comment="CeTm2ThSe4 (PBE, optimized geometry)" m_tot_mub_per_cell=0.98 spacegroup="P2/m, No. 10" formation_energy_uncorrected_kcal_per_mol_atoms=-38.68 pbc="T T T"
Ce 0.0000 0.0000 0.0000
Tm -1.1647 2.0141 3.4960
Tm 2.3202 0.0000 3.4960
Th 3.4849 2.0141 0.0000
Se -0.0091 0.0000 5.1031
Se 1.1548 2.0141 1.8812
Se 3.4856 2.0141 5.1107
Se 4.6495 0.0000 1.8889


12
Lattice="3.5835 -6.2072 0.0000 3.5835 6.2072 0.0000 -2.3939 0.0000 6.7798" Properties=species:S:1:pos:R:3 comment="Ce3Tm2ThSe6 (PBE, optimized geometry)" m_tot_mub_per_cell=2.92 spacegroup="C2/m, No. 12" formation_energy_uncorrected_kcal_per_mol_atoms=-39.80 pbc="T T T"
Ce 0.0000 0.0000 0.0000
Ce 3.5835 2.0016 0.0000
Ce 3.5835 -2.0016 0.0000
Tm 2.3865 4.1243 3.3899
Tm 2.3865 -4.1243 3.3899
Th 2.3865 0.0000 3.3899
Se 1.1510 2.1404 1.7566
Se -0.0920 0.0000 4.9803
Se 1.1510 -2.1404 1.7566
Se 3.6221 2.1404 5.0232
Se 4.8650 0.0000 1.7995
Se 3.6221 -2.1404 5.0232


15
Lattice="4.1722 2.4088 6.8306 -4.1722 2.4088 6.8306 0.0000 -4.8177 6.8306" Properties=species:S:1:pos:R:3 comment="Ce3TmTh3Se8 (PBE, optimized geometry)" m_tot_mub_per_cell=2.32 spacegroup="R-3m, No. 166" formation_energy_uncorrected_kcal_per_mol_atoms=-39.84 pbc="T T T"
Ce -2.0861 -1.2044 6.8306
Ce -2.0861 1.2044 13.6611
Ce 0.0000 2.4088 6.8306
Tm 0.0000 0.0000 10.2458
Th -4.1722 0.0000 10.2458
Th -2.0861 1.2044 3.4153
Th 2.0861 1.2044 3.4153
Se 0.0000 0.0000 5.1448
Se 0.0000 -2.3723 8.5583
Se -2.0544 1.1861 8.5583
Se -2.0544 -1.1861 11.9334
Se 2.0544 1.1861 8.5583
Se 2.0544 -1.1861 11.9334
Se 0.0000 2.3723 11.9334
Se 0.0000 0.0000 15.3469


16
Lattice="4.1200 2.3787 6.7999 -4.1200 2.3787 6.7999 0.0000 -4.7574 6.7999" Properties=species:S:1:pos:R:3 comment="Ce4Tm3ThSe8 (PBE, optimized geometry)" m_tot_mub_per_cell=3.37 spacegroup="R-3m, No. 166" formation_energy_uncorrected_kcal_per_mol_atoms=-39.97 pbc="T T T"
Ce 0.0000 0.0000 0.0000
Ce -2.0600 -1.1893 6.7999
Ce -2.0600 1.1893 13.5997
Ce 0.0000 2.3787 6.7999
Tm -4.1200 0.0000 10.1998
Tm -2.0600 1.1893 3.3999
Tm 2.0600 1.1893 3.3999
Th 0.0000 0.0000 10.1998
Se -2.1187 -1.2232 11.8256
Se 0.0000 0.0000 4.9829
Se 0.0000 -2.4465 8.5740
Se -2.1187 1.2232 8.5740
Se 2.1187 -1.2232 11.8256
Se 0.0000 2.4465 11.8256
Se 0.0000 0.0000 15.4166
Se 2.1187 1.2233 8.5740


8
Lattice="7.2080 0.0000 0.0000 0.0000 4.1624 0.0000 -2.4016 0.0000 6.8528" Properties=species:S:1:pos:R:3 comment="Ce2YThSe4 (PBE, optimized geometry)" m_tot_mub_per_cell=1.70 spacegroup="P2/m, No. 10" formation_energy_uncorrected_kcal_per_mol_atoms=-40.13 pbc="T T T"
Ce 0.0000 0.0000 0.0000
Ce -1.2008 2.0812 3.4264
Y 2.4032 0.0000 3.4264
Th 3.6040 2.0812 0.0000
Se 0.0313 0.0000 5.0976
Se 1.2297 2.0812 1.7713
Se 3.5767 2.0812 5.0815
Se 4.7751 0.0000 1.7552


16
Lattice="4.1872 2.4175 6.8382 -4.1872 2.4175 6.8382 0.0000 -4.8349 6.8382" Properties=species:S:1:pos:R:3 comment="Ce4YTh3Se8 (PBE, optimized geometry)" m_tot_mub_per_cell=3.54 spacegroup="R-3m, No. 166" formation_energy_uncorrected_kcal_per_mol_atoms=-39.52 pbc="T T T"
Ce 0.0000 0.0000 0.0000
Ce -2.0936 -1.2087 6.8382
Ce -2.0936 1.2087 13.6764
Ce 0.0000 2.4175 6.8382
Y 0.0000 0.0000 10.2573
Th -4.1872 0.0000 10.2573
Th -2.0936 1.2087 3.4191
Th 2.0936 1.2087 3.4191
Se 0.0000 0.0000 5.1493
Se 0.0000 -2.3699 8.5634
Se -2.0524 1.1850 8.5634
Se -2.0524 -1.1850 11.9513
Se 2.0524 1.1850 8.5634
Se 2.0524 -1.1850 11.9513
Se 0.0000 2.3699 11.9513
Se 0.0000 0.0000 15.3654


12
Lattice="9.0808 -2.0738 0.0000 9.0808 2.0738 0.0000 -1.9285 0.0000 8.1427" Properties=species:S:1:pos:R:3 comment="Ce3Y2ThSe6 (PBE, optimized geometry)" m_tot_mub_per_cell=2.90 spacegroup="C2/m, No. 12" formation_energy_uncorrected_kcal_per_mol_atoms=-40.63 pbc="T T T"
Ce 0.0000 0.0000 0.0000
Ce 4.8194 0.0000 5.4255
Ce 11.4137 0.0000 2.7172
Y 5.7358 0.0000 1.3622
Y 10.4973 0.0000 6.7805
Th -0.9643 0.0000 4.0713
Se 2.9260 0.0000 0.6355
Se 1.9233 0.0000 4.8275
Se 8.5329 0.0000 1.9981
Se 7.7002 0.0000 6.1446
Se 14.3098 0.0000 3.3152
Se 13.3072 0.0000 7.5072


12
Lattice="9.1163 -2.0500 0.0000 9.1163 2.0500 0.0000 -2.2213 0.0000 8.0889" Properties=species:S:1:pos:R:3 comment="Ce2Y3ThSe6 (PBE, optimized geometry)" m_tot_mub_per_cell=2.17 spacegroup="C2/m, No. 12" formation_energy_uncorrected_kcal_per_mol_atoms=-40.34 pbc="T T T"
Ce 2.2814 0.0000 2.6754
Ce 13.7300 0.0000 5.4134
Y 1.1773 0.0000 6.7363
Y 8.0057 0.0000 4.0444
Y 14.8341 0.0000 1.3526
Th 9.1163 0.0000 0.0000
Se -1.5918 0.0000 6.0026
Se 3.9656 0.0000 7.4718
Se 5.1987 0.0000 3.3261
Se 10.8127 0.0000 4.7628
Se 12.0457 0.0000 0.6170
Se 17.6032 0.0000 2.0862


9
Lattice="5.3733 0.0000 0.0000 0.0000 5.3733 0.0000 0.0000 0.0000 10.8484" Properties=species:S:1:pos:R:3 comment="Ce2YThSe5 (PBE, optimized geometry)" m_tot_mub_per_cell=3.69 spacegroup="P4/mmm, No. 123" formation_energy_uncorrected_kcal_per_mol_atoms=-25.27 pbc="T T T"
Ce 0.0000 0.0000 2.2140
Ce 0.0000 0.0000 8.6344
Y 2.6866 2.6866 5.4242
Th 2.6866 2.6866 0.0000
Se 0.0000 0.0000 5.4242
Se 0.0000 2.6866 0.0000
Se 2.6866 0.0000 0.0000
Se 2.6866 2.6866 2.8104
Se 2.6866 2.6866 8.0379


8
Lattice="7.1335 0.0000 0.0000 0.0000 4.1475 0.0000 -2.3950 0.0000 6.9367" Properties=species:S:1:pos:R:3 comment="CeYTh2Se4 (PBE, optimized geometry)" m_tot_mub_per_cell=0.59 spacegroup="P2/m, No. 10" formation_energy_uncorrected_kcal_per_mol_atoms=-38.42 pbc="T T T"
Ce 0.0000 0.0000 0.0000
Y 3.5668 2.0737 0.0000
Th -1.1975 2.0737 3.4683
Th 2.3693 0.0000 3.4683
Se 1.2184 2.0737 1.6809
Se 0.0179 0.0000 5.2769
Se 4.7206 0.0000 1.6598
Se 3.5202 2.0737 5.2558


4
Lattice="1.9340 1.1166 6.7875 -1.9340 1.1166 6.7875 0.0000 -2.2332 6.7875" Properties=species:S:1:pos:R:3 comment="CeTiSe2 (PBE, optimized geometry)" m_tot_mub_per_cell=1.61 spacegroup="R3m, No. 160" formation_energy_uncorrected_kcal_per_mol_atoms=-30.15 relative_energy_mev_per_atom=0 pbc="T T T"
Ce 0.0000 0.0000 0.0000
Ti 0.0000 0.0000 3.5941
Se 0.0000 0.0000 11.6944
Se 0.0000 0.0000 15.6055


4
Lattice="1.7998 1.0391 8.9640 -1.7998 1.0391 8.9640 0.0000 -2.0782 8.9640" Properties=species:S:1:pos:R:3 comment="CeTiSe2 (PBE, optimized geometry)" m_tot_mub_per_cell=1.38 spacegroup="R-3m, No. 166" formation_energy_uncorrected_kcal_per_mol_atoms=-19.96 relative_energy_mev_per_atom=442 pbc="T T T"
Ce 0.0000 0.0000 0.0000
Ti 0.0000 0.0000 13.4460
Se 0.0000 0.0000 2.9388
Se 0.0000 0.0000 23.9532